No. 1
! MgRuAu2S (PBE, optimized geometry); values from VASP
&SYSTEM
  ibrav = 0, nat = 5, ntyp = 4
/
ATOMIC_SPECIES
Mg 24.30 Mg.upf
Ru 101.07 Ru.upf
Au 196.97 Au.upf
S 32.06 S.upf
CELL_PARAMETERS angstrom
4.803 0.000 0.000
0.000 4.803 0.000
0.000 0.000 4.340
ATOMIC_POSITIONS crystal
Mg 0.000 0.000 0.000
Ru 0.500 0.500 0.000
Au 0.000 0.500 0.500
Au 0.500 0.000 0.500
S 0.500 0.500 0.500
! * formation energy without anion corrections: 0.364 eV/atom
! * D(E_F): 0.357 states/eV/atom
! * raw total energy: -3.95 eV/atom

---

No. 2
! Al2CdI (PBE, optimized geometry); values from VASP
&SYSTEM
  ibrav = 0, nat = 8, ntyp = 3
/
ATOMIC_SPECIES
Al 26.98 Al.upf
Cd 112.41 Cd.upf
I 126.90 I.upf
CELL_PARAMETERS angstrom
-3.261 3.261 6.597
3.261 -3.261 6.597
3.261 3.261 -6.597
ATOMIC_POSITIONS crystal
Al 0.076 0.625 0.951
Al 0.375 0.326 0.451
Al 0.674 0.125 0.049
Al 0.875 0.924 0.549
Cd 0.000 0.000 0.000
Cd 0.750 0.250 0.500
I 0.250 0.750 0.500
I 0.500 0.500 0.000
! * formation energy without anion corrections: 0.387 eV/atom
! * D(E_F): 0.938 states/eV/atom
! * energy above the most stable polymorph in this dataset: 0 meV per atom
! * raw total energy: -2.10 eV/atom